No. 1
The following is a PBEsol calculation of a relaxed RhWAu crystal, from Alexandria.

```
RhWAu
1.0
-1.6521 1.6521 4.1995
1.6521 -1.6521 4.1995
1.6521 1.6521 -4.1995
Rh W Au
1 1 1
direct
0.0000 0.0000 0.0000 Rh
0.6514 0.6514 0.0000 W
0.3283 0.3283 0.0000 Au
```

VASP energy	-25.46	eV/cell
polymorph energy (0 for the lowest one)	0.00	eV/f.u.

No. 2
The following is a PBEsol calculation of a relaxed YRh2Au crystal, from Alexandria.

```
YRh2Au
1.0
4.1194 0.0000 0.0000
0.0000 4.1194 0.0000
0.0000 0.0000 3.9013
Y Rh Au
1 2 1
direct
0.0000 0.0000 0.0000 Y
0.0000 0.5000 0.5000 Rh
0.5000 0.0000 0.5000 Rh
0.5000 0.5000 0.0000 Au
```

VASP energy	-29.23	eV/cell

No. 3
The following is a PBEsol calculation of a relaxed YRhAu2 crystal, from Alexandria.

```
YRhAu2
1.0
-1.9867 1.9867 4.4521
1.9867 -1.9867 4.4521
1.9867 1.9867 -4.4521
Y Rh Au
1 1 2
direct
0.0000 0.0000 0.0000 Y
0.5000 0.5000 0.0000 Rh
0.2500 0.7500 0.5000 Au
0.7500 0.2500 0.5000 Au
```

VASP energy	-25.43	eV/cell

No. 4
The following is a PBEsol calculation of a relaxed YRhAu2 crystal, from Alexandria.

```
YRhAu2
1.0
-2.0772 2.0772 4.1094
2.0772 -2.0772 4.1094
2.0772 2.0772 -4.1094
Y Rh Au
1 1 2
direct
0.0000 0.0000 0.0000 Y
0.7500 0.2500 0.5000 Rh
0.2500 0.7500 0.5000 Au
0.5000 0.5000 0.0000 Au
```

VASP energy	-25.31	eV/cell

No. 5
The following is a PBEsol calculation of a relaxed YRh2Au crystal, from Alexandria.

```
YRh2Au
1.0
3.3865 0.0000 0.0000
0.0000 3.3865 0.0000
0.0000 0.0000 5.9563
Y Rh Au
1 2 1
direct
0.0000 0.0000 0.0000 Y
0.5000 0.5000 0.2702 Rh
0.5000 0.5000 0.7298 Rh
0.0000 0.0000 0.5000 Au
```

VASP energy	-28.32	eV/cell

No. 6
The following is a PBEsol calculation of a relaxed Zn2RhAu crystal, from Alexandria.

```
Zn2RhAu
1.0
4.2070 -1.4693 0.0000
4.2070 1.4693 0.0000
-1.0572 0.0000 4.6803
Zn Rh Au
2 1 1
direct
0.2459 0.2459 0.2339 Zn
0.7541 0.7541 0.7661 Zn
0.5000 0.5000 0.0000 Rh
0.0000 0.0000 0.5000 Au
```

VASP energy	-16.10	eV/cell

No. 7
The following is a PBEsol calculation of a relaxed Zn2RhAu crystal, from Alexandria.

```
Zn2RhAu
1.0
4.0244 0.0000 0.0000
0.0000 4.0244 0.0000
0.0000 0.0000 3.4679
Zn Rh Au
2 1 1
direct
0.0000 0.5000 0.0000 Zn
0.5000 0.0000 0.0000 Zn
0.0000 0.0000 0.5000 Rh
0.5000 0.5000 0.5000 Au
```

VASP energy	-16.72	eV/cell

No. 8
The following is a PBEsol calculation of a relaxed Zn2RhAu crystal, from Alexandria.

```
Zn2RhAu
1.0
4.6771 -1.4669 0.0000
4.6771 1.4669 0.0000
-1.4195 0.0000 4.1480
Zn Rh Au
2 1 1
direct
0.0000 0.0000 0.0000 Zn
0.7472 0.7472 0.3609 Zn
0.2585 0.2585 0.8747 Rh
0.4955 0.4955 0.4999 Au
```

VASP energy	-16.27	eV/cell

No. 9
The following is a PBEsol calculation of a relaxed Zn2RhAu crystal, from Alexandria.

```
Zn2RhAu
1.0
2.8202 0.0000 0.0000
0.0000 4.0772 0.0000
-1.3885 0.0000 4.9460
Zn Rh Au
2 1 1
direct
0.0000 0.0000 0.0000 Zn
0.1445 0.5000 0.2963 Zn
0.4149 0.5000 0.8300 Rh
0.7412 0.0000 0.4910 Au
```

VASP energy	-16.14	eV/cell

No. 10
The following is a PBEsol calculation of a relaxed Zn2RhAu crystal, from Alexandria.

```
Zn2RhAu
1.0
0.0000 3.0364 3.0364
3.0364 0.0000 3.0364
3.0364 3.0364 0.0000
Zn Rh Au
2 1 1
direct
0.2500 0.2500 0.2500 Zn
0.7500 0.7500 0.7500 Zn
0.0000 0.0000 0.0000 Rh
0.5000 0.5000 0.5000 Au
```

VASP energy	-16.47	eV/cell

No. 11
The following is a PBEsol calculation of a relaxed Zn2RhAu crystal, from Alexandria.

```
Zn2RhAu
1.0
2.9761 0.0000 0.0000
0.0000 3.2952 0.0000
0.0000 0.0000 5.7553
Zn Rh Au
2 1 1
direct
0.0000 0.0000 0.2311 Zn
0.0000 0.0000 0.7689 Zn
0.5000 0.5000 0.0000 Rh
0.5000 0.5000 0.5000 Au
```

VASP energy	-16.60	eV/cell

No. 12
The following is a PBEsol calculation of a relaxed Zn2RhAu crystal, from Alexandria.

```
Zn2RhAu
1.0
1.4086 0.8132 8.4256
-1.4086 0.8132 8.4256
0.0000 -1.6265 8.4256
Zn Rh Au
2 1 1
direct
0.2454 0.2454 0.2454 Zn
0.7546 0.7546 0.7546 Zn
0.5000 0.5000 0.5000 Rh
0.0000 0.0000 0.0000 Au
```

VASP energy	-16.02	eV/cell

No. 13
The following is a PBEsol calculation of a relaxed ZrRhAu crystal, from Alexandria.

```
ZrRhAu
1.0
4.4897 0.0000 0.0000
-2.2448 3.8882 0.0000
0.0000 0.0000 2.9120
Zr Rh Au
1 1 1
direct
0.0000 0.0000 0.0000 Zr
0.6667 0.3333 0.7629 Rh
0.3333 0.6667 0.3969 Au
```

VASP energy	-22.56	eV/cell
polymorph energy (0 for the lowest one)	0.61	eV/f.u.

No. 14
The following is a PBEsol calculation of a relaxed ZrRhAu2 crystal, from Alexandria.

```
ZrRhAu2
1.0
-1.9408 1.9408 4.3905
1.9408 -1.9408 4.3905
1.9408 1.9408 -4.3905
Zr Rh Au
1 1 2
direct
0.0000 0.0000 0.0000 Zr
0.5000 0.5000 0.0000 Rh
0.2500 0.7500 0.5000 Au
0.7500 0.2500 0.5000 Au
```

VASP energy	-27.57	eV/cell

No. 15
The following is a PBEsol calculation of a relaxed Zr2RhAu crystal, from Alexandria.

```
Zr2RhAu
1.0
4.3464 0.0000 0.0000
0.0000 1.6607 5.1711
0.0000 -1.6607 5.1711
Zr Rh Au
2 1 1
direct
0.0000 0.0000 0.0000 Zr
0.5000 0.2906 0.2906 Zr
0.0000 0.7440 0.7440 Rh
0.5000 0.5635 0.5635 Au
```

VASP energy	-32.94	eV/cell

No. 16
The following is a PBEsol calculation of a relaxed ZrRhAu2 crystal, from Alexandria.

```
ZrRhAu2
1.0
3.4561 0.0000 0.0000
0.0000 3.4561 0.0000
0.0000 0.0000 5.7011
Zr Rh Au
1 1 2
direct
0.0000 0.0000 0.0000 Zr
0.5000 0.5000 0.2238 Rh
0.0000 0.0000 0.4840 Au
0.5000 0.5000 0.7250 Au
```

VASP energy	-27.18	eV/cell

No. 17
The following is a PBEsol calculation of a relaxed ZrRhAu2 crystal, from Alexandria.

```
ZrRhAu2
1.0
-2.0198 2.0198 4.0619
2.0198 -2.0198 4.0619
2.0198 2.0198 -4.0619
Zr Rh Au
1 1 2
direct
0.0000 0.0000 0.0000 Zr
0.7500 0.2500 0.5000 Rh
0.2500 0.7500 0.5000 Au
0.5000 0.5000 0.0000 Au
```

VASP energy	-27.53	eV/cell

No. 18
The following is a PBEsol calculation of a relaxed ZrRhAu crystal, from Alexandria.

```
ZrRhAu
1.0
-1.7078 1.7078 4.3927
1.7078 -1.7078 4.3927
1.7078 1.7078 -4.3927
Zr Rh Au
1 1 1
direct
0.0000 0.0000 0.0000 Zr
0.6479 0.6479 0.0000 Rh
0.3250 0.3250 0.0000 Au
```

VASP energy	-23.17	eV/cell
polymorph energy (0 for the lowest one)	0.00	eV/f.u.

No. 19
The following is a PBEsol calculation of a relaxed Zr2RhAu crystal, from Alexandria.

```
Zr2RhAu
1.0
3.1634 0.0000 0.0000
0.0000 3.1634 0.0000
0.0000 0.0000 7.2584
Zr Rh Au
2 1 1
direct
0.0000 0.0000 0.2331 Zr
0.0000 0.0000 0.7669 Zr
0.5000 0.5000 0.0000 Rh
0.5000 0.5000 0.5000 Au
```

VASP energy	-32.72	eV/cell

No. 20
The following is a PBEsol calculation of a relaxed Zr2Rh2Au crystal, from Alexandria.

```
Zr2Rh2Au
1.0
7.3076 0.0000 0.0000
0.0000 7.3076 0.0000
0.0000 0.0000 3.2676
Zr Rh Au
4 4 2
direct
0.1673 0.3327 0.0000 Zr
0.3327 0.8327 0.0000 Zr
0.6673 0.1673 0.0000 Zr
0.8327 0.6673 0.0000 Zr
0.1350 0.6350 0.5000 Rh
0.3650 0.1350 0.5000 Rh
0.6350 0.8650 0.5000 Rh
0.8650 0.3650 0.5000 Rh
0.0000 0.0000 0.5000 Au
0.5000 0.5000 0.5000 Au
```

VASP energy	-83.81	eV/cell

No. 21
The following is a PBEsol calculation of a relaxed RuAu crystal, from Alexandria.

```
RuAu
1.0
-1.3772 2.3507 4.7628
1.3772 -2.3507 4.7628
1.3772 2.3507 -4.7628
Ru Au
2 2
direct
0.3923 0.1423 0.2500 Ru
0.6077 0.8577 0.7500 Ru
0.1343 0.3843 0.7500 Au
0.8657 0.6157 0.2500 Au
```

VASP energy	-26.32	eV/cell
polymorph energy (0 for the lowest one)	0.59	eV/f.u.

No. 22
The following is a PBEsol calculation of a relaxed Ru2Au crystal, from Alexandria.

```
Ru2Au
1.0
-1.3713 1.3713 5.8167
1.3713 -1.3713 5.8167
1.3713 1.3713 -5.8167
Ru Au
2 1
direct
0.1799 0.1799 0.0000 Ru
0.8201 0.8201 0.0000 Ru
0.5000 0.5000 0.0000 Au
```

VASP energy	-23.61	eV/cell
polymorph energy (0 for the lowest one)	0.00	eV/f.u.

No. 23
The following is a PBEsol calculation of a relaxed RuAu crystal, from Alexandria.

```
RuAu
1.0
0.0000 2.6152 2.6152
2.6152 0.0000 2.6152
2.6152 2.6152 0.0000
Ru Au
1 1
direct
0.0000 0.0000 0.0000 Ru
0.5000 0.5000 0.5000 Au
```

VASP energy	-11.47	eV/cell
polymorph energy (0 for the lowest one)	2.28	eV/f.u.

No. 24
The following is a PBEsol calculation of a relaxed RuAu crystal, from Alexandria.

```
RuAu
1.0
2.7355 0.0000 0.0000
0.0000 4.4805 0.0000
0.0000 0.0000 4.9110
Ru Au
2 2
direct
0.2500 0.2500 0.0769 Ru
0.7500 0.7500 0.9231 Ru
0.2500 0.7500 0.4069 Au
0.7500 0.2500 0.5931 Au
```

VASP energy	-26.54	eV/cell
polymorph energy (0 for the lowest one)	0.48	eV/f.u.

No. 25
The following is a PBEsol calculation of a relaxed RuAu2 crystal, from Alexandria.

```
RuAu2
1.0
2.0556 -5.9803 0.0000
2.0556 5.9803 0.0000
0.0000 0.0000 3.8635
Ru Au
2 4
direct
0.0681 0.9319 0.7500 Ru
0.9319 0.0681 0.2500 Ru
0.2485 0.7515 0.2500 Au
0.4159 0.5841 0.7500 Au
0.5841 0.4159 0.2500 Au
0.7515 0.2485 0.7500 Au
```

VASP energy	-33.87	eV/cell
polymorph energy (0 for the lowest one)	0.14	eV/f.u.

No. 26
The following is a PBEsol calculation of a relaxed Ru2Au crystal, from Alexandria.

```
Ru2Au
1.0
4.3670 0.0000 0.0000
-2.1835 3.7819 0.0000
0.0000 0.0000 2.6750
Ru Au
2 1
direct
0.3333 0.6667 0.0000 Ru
0.6667 0.3333 0.0000 Ru
0.0000 0.0000 0.5000 Au
```

VASP energy	-22.72	eV/cell
polymorph energy (0 for the lowest one)	0.89	eV/f.u.

No. 27
The following is a PBEsol calculation of a relaxed RuAu crystal, from Alexandria.

```
RuAu
1.0
2.7578 0.0000 0.0000
0.0000 2.7578 0.0000
0.0000 0.0000 7.9760
Ru Au
2 2
direct
0.2500 0.2500 0.1012 Ru
0.7500 0.7500 0.8988 Ru
0.2500 0.2500 0.6378 Au
0.7500 0.7500 0.3622 Au
```

VASP energy	-27.50	eV/cell
polymorph energy (0 for the lowest one)	0.00	eV/f.u.

No. 28
The following is a PBEsol calculation of a relaxed Ru2Au3 crystal, from Alexandria.

```
Ru2Au3
1.0
1.3935 0.8045 11.4480
-1.3935 0.8045 11.4480
0.0000 -1.6090 11.4480
Ru Au
2 3
direct
0.1013 0.1013 0.1013 Ru
0.8987 0.8987 0.8987 Ru
0.2979 0.2979 0.2979 Au
0.5000 0.5000 0.5000 Au
0.7021 0.7021 0.7021 Au
```

VASP energy	-30.17	eV/cell

No. 29
The following is a PBEsol calculation of a relaxed RuAu2 crystal, from Alexandria.

```
RuAu2
1.0
1.3780 -7.4810 0.0000
1.3780 7.4810 0.0000
0.0000 0.0000 4.5676
Ru Au
2 4
direct
0.2246 0.7754 0.7500 Ru
0.7754 0.2246 0.2500 Ru
0.1182 0.8818 0.2500 Au
0.4432 0.5568 0.2500 Au
0.5568 0.4432 0.7500 Au
0.8818 0.1182 0.7500 Au
```

VASP energy	-34.15	eV/cell
polymorph energy (0 for the lowest one)	0.00	eV/f.u.

No. 30
The following is a PBEsol calculation of a relaxed RuAu crystal, from Alexandria.

```
RuAu
1.0
4.3660 0.0000 0.0000
-2.1830 3.7811 0.0000
0.0000 0.0000 5.2021
Ru Au
2 2
direct
0.3333 0.6667 0.2500 Ru
0.6667 0.3333 0.7500 Ru
0.3333 0.6667 0.7500 Au
0.6667 0.3333 0.2500 Au
```

VASP energy	-21.74	eV/cell
polymorph energy (0 for the lowest one)	2.88	eV/f.u.

No. 31
The following is a PBEsol calculation of a relaxed RuAu crystal, from Alexandria.

```
RuAu
1.0
4.5547 -1.3905 0.0000
4.5547 1.3905 0.0000
-0.8482 0.0000 4.7501
Ru Au
2 2
direct
0.1320 0.1320 0.4025 Ru
0.8680 0.8680 0.5975 Ru
0.3780 0.3780 0.1199 Au
0.6220 0.6220 0.8801 Au
```

VASP energy	-26.76	eV/cell
polymorph energy (0 for the lowest one)	0.37	eV/f.u.